# 1
The following is a PBE calculation of a relaxed TlZn2Pt crystal, from Alexandria via LeMat-Bulk.

## Properties
ΔH_f (0 K)	0.024	eV/atom
raw total energy	-2.72	eV per atom
SG	Fm-3m, No. 225

The structure in POSCAR format:
```
TlZn2Pt
1.0
0.000 3.281 3.281
3.281 0.000 3.281
3.281 3.281 0.000
Tl Zn Pt
1 2 1
Direct
0.000 0.000 0.000
0.250 0.250 0.250
0.750 0.750 0.750
0.500 0.500 0.500
```

***

# 2
The following is a PBE calculation of a relaxed ZrTl3Pt crystal, from Alexandria via LeMat-Bulk.

## Properties
ΔH_f (0 K)	0.570	eV/atom
raw total energy	-3.77	eV per atom
SG	Pm-3m, No. 221

The structure in POSCAR format:
```
ZrTl3Pt
1.0
5.227 0.000 0.000
0.000 5.227 0.000
0.000 0.000 5.227
Zr Tl Pt
1 3 1
Direct
0.000 0.000 0.000
0.000 0.500 0.500
0.500 0.000 0.500
0.500 0.500 0.000
0.500 0.500 0.500
```

***

# 3
The following is a PBE calculation of a relaxed ZrTl3Pt crystal, from Alexandria via LeMat-Bulk.

## Properties
ΔH_f (0 K)	1.073	eV/atom
raw total energy	-3.26	eV per atom
SG	Pm-3m, No. 221

The structure in POSCAR format:
```
ZrTl3Pt
1.0
5.583 0.000 0.000
0.000 5.583 0.000
0.000 0.000 5.583
Zr Tl Pt
1 3 1
Direct
0.000 0.000 0.000
0.000 0.000 0.500
0.000 0.500 0.000
0.500 0.000 0.000
0.500 0.500 0.500
```

***

# 4
The following is a PBE calculation of a relaxed ZrTl4Pt crystal, from Alexandria via LeMat-Bulk.

## Properties
ΔH_f (0 K)	0.630	eV/atom
raw total energy	-3.38	eV per atom
SG	F-43m, No. 216

The structure in POSCAR format:
```
ZrTl4Pt
1.0
0.000 4.254 4.254
4.254 0.000 4.254
4.254 4.254 0.000
Zr Tl Pt
1 4 1
Direct
0.000 0.000 0.000
0.375 0.375 0.375
0.375 0.375 0.875
0.375 0.875 0.375
0.875 0.375 0.375
0.750 0.750 0.750
```